## DyH2S (GGA-PBE)

Data for a geometry-optimized DyH2S structure.

abc: 4.1135 4.1135 9.7370
angles: 90.00 90.00 120.00
Space group R-3m (No. 166, hexagonal axes)
Symmetry-distinct sites (fractional):
1 Dy 0.0000 0.0000 0.0000 x3
2 H 0.0000 0.0000 0.2309 x6
3 S 0.0000 0.0000 0.5000 x3

Summary:
For the size of the total moment, the calculation gives 0.000 μB/atom. For the raw total energy, the calculation gives -52.355 eV for the cell shown. Its calculated volume is 11.89 Å³ per atom.

## Nd2SmNi9 (GGA-PBE)

Data for a geometry-optimized Nd2SmNi9 structure.

abc: 5.0236 5.0236 24.8134
angles: 90.00 90.00 120.00
Space group R-3m (No. 166, hexagonal axes)
Symmetry-distinct sites (fractional):
1 Nd 0.0000 0.0000 0.1384 x6
2 Sm 0.0000 0.0000 0.0000 x3
3 Ni 0.0000 0.0000 0.3328 x6
4 Ni 0.0000 0.0000 0.5000 x3
5 Ni 0.0009 0.5004 0.0804 x18

Summary:
For the size of the total moment, the calculation gives 0.073 μB/atom. As for the formation energy from the elements: -322 meV/atom. For the raw total energy, the calculation gives -210.452 eV for the cell shown. Its calculated volume is 15.06 Å³ per atom.

## OsRh2Au2 (GGA-PBE)

Data for a geometry-optimized OsRh2Au2 structure.

abc: 3.6002 3.6002 13.7076
angles: 90.00 90.00 90.00
Space group I4/mmm (No. 139)
Symmetry-distinct sites (fractional):
1 Os 0.0000 0.0000 0.0000 x2
2 Rh 0.0000 0.0000 0.4091 x4
3 Au 0.0000 0.5000 0.2500 x4

Summary:
For the size of the total moment, the calculation gives 0.422 μB/atom. As for the formation energy from the elements: 913 meV/atom. For the raw total energy, the calculation gives -55.846 eV for the cell shown. Its calculated volume is 17.77 Å³ per atom.

## ReMo2Se (GGA-PBE)

Data for a geometry-optimized ReMo2Se structure.

abc: 2.9712 4.1735 5.1296
angles: 90.00 90.00 90.00
Space group Pmm2 (No. 25)
Symmetry-distinct sites (fractional):
1 Re 0.0000 0.0000 0.0000 x1
2 Mo 0.0000 0.0000 0.5137 x1
3 Mo 0.5000 0.5000 0.7858 x1
4 Se 0.5000 0.5000 0.2836 x1

Summary:
For the size of the total moment, the calculation gives 0.000 μB/atom. For the energy relative to the elements, uncorrected, the calculation gives 0.357 eV per atom. For the raw total energy, the calculation gives -36.168 eV for the cell shown. Its calculated volume is 15.90 Å³ per atom.

## Nd8ZnGe5 (GGA-PBE)

Data for a geometry-optimized Nd8ZnGe5 structure.

abc: 9.1612 9.1612 9.2009
angles: 90.00 90.00 90.00
Space group I-4 (No. 82)
Symmetry-distinct sites (fractional):
1 Nd 0.0656 0.1779 0.1931 x8
2 Nd 0.0717 0.3130 0.5636 x8
3 Zn 0.0000 0.5000 0.2500 x2
4 Ge 0.0000 0.0000 0.5000 x2
5 Ge 0.1267 0.2519 0.8785 x8

Summary:
For the size of the total moment, the calculation gives 0.000 μB/atom. As for the formation energy from the elements: -689 meV/atom. For the raw total energy, the calculation gives -144.309 eV for the cell shown. Its calculated volume is 27.58 Å³ per atom.

## YWS3 (GGA-PBE)

Data for a geometry-optimized YWS3 structure.

abc: 5.1224 5.1224 5.1224
angles: 90.00 90.00 90.00
Space group Pm-3m (No. 221)
Symmetry-distinct sites (fractional):
1 Y 0.0000 0.0000 0.0000 x1
2 W 0.5000 0.5000 0.5000 x1
3 S 0.0000 0.0000 0.5000 x3

Summary:
For the size of the total moment, the calculation gives 0.600 μB/atom. For the energy relative to the elements, uncorrected, the calculation gives 0.645 eV per atom. For the raw total energy, the calculation gives -28.576 eV for the cell shown. Its calculated volume is 26.88 Å³ per atom.

## CaHfIr2Os (GGA-PBE)

Data for a geometry-optimized CaHfIr2Os structure.

abc: 4.9234 4.9234 4.7927
angles: 90.00 90.00 90.00
Space group P4/mmm (No. 123)
Symmetry-distinct sites (fractional):
1 Ca 0.0000 0.0000 0.0000 x1
2 Hf 0.5000 0.5000 0.0000 x1
3 Ir 0.0000 0.5000 0.5000 x2
4 Os 0.5000 0.5000 0.5000 x1

Summary:
For the size of the total moment, the calculation gives 0.000 μB/atom. As for the formation energy from the elements: 640 meV/atom. For the raw total energy, the calculation gives -37.709 eV for the cell shown. Its calculated volume is 23.23 Å³ per atom.

## HfZr2Al (GGA-PBE)

Data for a geometry-optimized HfZr2Al structure.

abc: 7.8581 7.8581 5.7422
angles: 90.00 90.00 90.00
Space group I-42d (No. 122)
Symmetry-distinct sites (fractional):
1 Hf 0.0000 0.0000 0.0000 x4
2 Zr 0.2302 0.7500 0.6250 x8
3 Al 0.0000 0.0000 0.5000 x4

Summary:
For the size of the total moment, the calculation gives 0.000 μB/atom. As for the formation energy from the elements: 245 meV/atom. For the raw total energy, the calculation gives -119.253 eV for the cell shown. Its calculated volume is 22.16 Å³ per atom.

## Pm2PaNb (GGA-PBE)

Data for a geometry-optimized Pm2PaNb structure.

abc: 3.2461 3.2461 35.1579
angles: 90.00 90.00 120.00
Space group R-3m (No. 166, hexagonal axes)
Symmetry-distinct sites (fractional):
1 Pm 0.0000 0.0000 0.0839 x6
2 Pa 0.0000 0.0000 0.5000 x3
3 Nb 0.0000 0.0000 0.0000 x3

Summary:
For the size of the total moment, the calculation gives 0.145 μB/atom. As for the formation energy from the elements: 603 meV/atom. For the raw total energy, the calculation gives -79.959 eV for the cell shown. Its calculated volume is 26.74 Å³ per atom.